(1)
Cr2FeOs after structural relaxation, computed with PBE.

Properties
The crystal system is orthorhombic.

abc: 2.6149 3.6149 5.1819
angles: 90.00 90.00 90.00
With the nearest neighbours (Å) after each atom.
Sites, in units of the cell vectors:
1 Cr 0.5000 0.5000 0.2576  4 Fe 2.53, 2 Os 2.57-2.62, 6 Cr 2.59-2.61
2 Cr 0.0000 0.0000 0.0026  2 Fe 2.51-2.67, 4 Os 2.58, 6 Cr 2.59-2.61
3 Os 0.5000 0.5000 0.7526  6 Cr 2.57-2.62, 2 Os 2.61, 4 Fe 2.62
4 Fe 0.0000 0.0000 0.4872  6 Cr 2.51-2.67, 2 Fe 2.61, 4 Os 2.62

***

(2)
CrFe2Os after structural relaxation, computed with PBE.

Properties
The crystal system is tetragonal.

abc: 4.1094 4.1094 2.9391
angles: 90.00 90.00 90.00
With the nearest neighbours (Å) after each atom.
Sites, in units of the cell vectors:
1 Cr 0.0000 0.5000 0.5000  8 Fe 2.53
2 Fe 0.0000 0.0000 0.0000  4 Os 2.53, 4 Cr 2.53
3 Fe 0.5000 0.5000 0.0000  4 Cr 2.53, 4 Os 2.53
4 Os 0.5000 0.0000 0.5000  8 Fe 2.53

***

no.,E_form (eV/f.u.)
1,0.7
2,0.8